19
Lattice="8.947 -1.059 -1.268 -2.403 8.683 -1.268 -2.403 -2.799 8.316" Properties=species:S:1:pos:R:3 comment="Pr12MgGa6, relaxed, DFT PBE" formation_enthalpy_0k_ev_per_atom=-0.244 dos_at_fermi_per_ev_atom=1.124 spacegroup="R-3 (148)" pbc="T T T"
Pr 4.546 3.239 2.383
Pr 1.056 4.761 3.613
Pr 2.512 1.454 5.330
Pr -0.404 1.586 3.397
Pr 3.085 0.064 2.168
Pr 1.629 3.371 0.451
Pr 5.617 5.399 0.064
Pr -0.343 5.901 -0.499
Pr 5.885 -0.590 0.457
Pr -1.475 -0.574 5.717
Pr 4.485 -1.076 6.279
Pr -1.743 5.415 5.323
Mg 0.000 0.000 0.000
Ga 2.671 6.141 1.435
Ga 4.236 2.137 -0.518
Ga -1.524 4.052 2.010
Ga 1.470 -1.316 4.346
Ga -0.094 2.688 6.298
Ga 5.665 0.773 3.770